First-principles (SCAN) data for MgBeSb2 at its PBEsol-relaxed geometry, as listed in the Alexandria database.

Computed properties:
The uncorrected formation energy comes out at 0.07 eV per atom. Its space-group type is R-3m. The value obtained for the energy is -83.55 eV/cell. As for the energy above the most stable polymorph in this dataset: 0.000 eV/atom.

a b c (Å): 3.6368 3.6368 7.6356
angles (deg): 76.22 76.22 60.00
Closest atoms and distances in Å follow each position.
Positions (direct):
Sb 0.2351 0.2351 0.2948  3 Be 2.58
Sb 0.7649 0.7649 0.7052  3 Be 2.58
Mg 0.0000 0.0000 0.0000  6 Sb 3.02
Be 0.5000 0.5000 0.5000  6 Sb 2.58


First-principles (SCAN) data for AlRe3C at its PBEsol-relaxed geometry, as listed in the Alexandria database.

Computed properties:
Its space-group type is Pm-3m. The value obtained for the energy is -229.78 eV/cell. As for the energy of formation: 272 meV per atom.

a b c (Å): 4.0506 4.0506 4.0506
angles (deg): 90.00 90.00 90.00
Closest atoms and distances in Å follow each position.
Positions (direct):
Re 0.5000 0.0000 0.0000  2 C 2.03
Re 0.0000 0.0000 0.5000  2 C 2.03
Re 0.0000 0.5000 0.0000  2 C 2.03
C 0.0000 0.0000 0.0000  6 Re 2.03
Al 0.5000 0.5000 0.5000  12 Re 2.86


First-principles (SCAN) data for MnCr2Ru at its PBEsol-relaxed geometry, as listed in the Alexandria database.

Computed properties:
Its space-group type is F-43m. The value obtained for the energy is -90.32 eV/cell. As for the energy of formation: -117 meV per atom. As for the energy above the most stable polymorph in this dataset: 0.034 eV/atom.

a b c (Å): 4.0823 4.0823 4.0823
angles (deg): 60.00 60.00 60.00
Closest atoms and distances in Å follow each position.
Positions (direct):
Ru 0.2500 0.2500 0.2500  4 Cr 2.50, 4 Mn 2.50
Mn 0.5000 0.5000 0.5000  4 Ru 2.50, 4 Cr 2.50
Cr 0.7500 0.7500 0.7500  4 Cr 2.50, 4 Mn 2.50
Cr 0.0000 0.0000 0.0000  4 Cr 2.50, 4 Ru 2.50